(A)
Dy3ErIn after structural relaxation, computed with PBE.

Computed properties:
Density of states at the Fermi level (states/eV/f.u.): 5.8
ρ (Mg/m³): 8.10

```
data_Dy3ErIn
_symmetry_space_group_name_H-M 'C m c m'
_symmetry_Int_Tables_number 63
_symmetry_space_group_name_Hall '-C 2c 2'
_cell_length_a 5.868
_cell_length_b 12.268
_cell_length_c 8.765
_cell_angle_alpha 90.00
_cell_angle_beta 90.00
_cell_angle_gamma 90.00
loop_
_atom_site_label
_atom_site_type_symbol
_atom_site_fract_x
_atom_site_fract_y
_atom_site_fract_z
Dy1 Dy 0.000 0.063 0.250
Dy2 Dy 0.000 0.176 0.569
Er1 Er 0.000 0.428 0.750
In1 In 0.000 0.321 0.250
```

(B)
Dy3ErIn after structural relaxation, computed with PBE.

Computed properties:
Density of states at the Fermi level (states/eV/f.u.): 5.6
ρ (Mg/m³): 8.86

```
data_Dy3ErIn
_symmetry_space_group_name_H-M 'C m c m'
_symmetry_Int_Tables_number 63
_symmetry_space_group_name_Hall '-C 2c 2'
_cell_length_a 4.808
_cell_length_b 24.976
_cell_length_c 4.806
_cell_angle_alpha 90.00
_cell_angle_beta 90.00
_cell_angle_gamma 90.00
loop_
_atom_site_label
_atom_site_type_symbol
_atom_site_fract_x
_atom_site_fract_y
_atom_site_fract_z
Dy1 Dy 0.000 0.050 0.250
Dy2 Dy 0.000 0.250 0.250
Dy3 Dy 0.000 0.447 0.250
Er1 Er 0.000 0.150 0.750
In1 In 0.000 0.348 0.750
```

Tell me which of them is the most stable. Sure, it is (B).

(A)
DyEr4In3 after structural relaxation, computed with PBE.

Computed properties:
Density of states at the Fermi level (states/eV/f.u.): 8.2
ρ (Mg/m³): 8.52

```
data_DyEr4In3
_symmetry_space_group_name_H-M 'I m m m'
_symmetry_Int_Tables_number 71
_symmetry_space_group_name_Hall '-I 2 2'
_cell_length_a 3.471
_cell_length_b 8.774
_cell_length_c 15.052
_cell_angle_alpha 90.00
_cell_angle_beta 90.00
_cell_angle_gamma 90.00
loop_
_atom_site_label
_atom_site_type_symbol
_atom_site_fract_x
_atom_site_fract_y
_atom_site_fract_z
Dy1 Dy 0.000 0.000 0.000
Er1 Er 0.000 0.302 0.140
In1 In 0.000 0.000 0.500
In2 In 0.000 0.500 0.315
```

(B)
DyEr4In3 after structural relaxation, computed with PBE.

Computed properties:
Density of states at the Fermi level (states/eV/f.u.): 9.4
ρ (Mg/m³): 8.78

```
data_DyEr4In3
_symmetry_space_group_name_H-M 'R -3 m'
_symmetry_Int_Tables_number 166
_symmetry_space_group_name_Hall '-R 3 2"'
_cell_length_a 5.2954
_cell_length_b 5.2954
_cell_length_c 27.4860
_cell_angle_alpha 90.00
_cell_angle_beta 90.00
_cell_angle_gamma 120.00
loop_
_atom_site_label
_atom_site_type_symbol
_atom_site_fract_x
_atom_site_fract_y
_atom_site_fract_z
Dy1 Dy 0.0000 0.0000 0.0000
Er1 Er 0.0000 0.0000 0.1285
Er2 Er 0.0000 0.0000 0.3884
In1 In 0.0000 0.0000 0.2662
In2 In 0.0000 0.0000 0.5000
```

Tell me which of them is the most stable. Sure, it is (B).

(A)
Dy2Er3In2 after structural relaxation, computed with PBE.

Computed properties:
Density of states at the Fermi level (states/eV/f.u.): 5.6
ρ (Mg/m³): 8.89

```
data_Dy2Er3In2
_symmetry_space_group_name_H-M 'R -3 m'
_symmetry_Int_Tables_number 166
_symmetry_space_group_name_Hall '-R 3 2"'
_cell_length_a 5.3500
_cell_length_b 5.3500
_cell_length_c 23.8887
_cell_angle_alpha 90.00
_cell_angle_beta 90.00
_cell_angle_gamma 120.00
loop_
_atom_site_label
_atom_site_type_symbol
_atom_site_fract_x
_atom_site_fract_y
_atom_site_fract_z
Dy1 Dy 0.0000 0.0000 0.0755
Er1 Er 0.0000 0.0000 0.3472
Er2 Er 0.0000 0.0000 0.5000
In1 In 0.0000 0.0000 0.2166
```

(B)
Dy2Er3In2 after structural relaxation, computed with PBE.

Computed properties:
Density of states at the Fermi level (states/eV/f.u.): 5.9
ρ (Mg/m³): 8.94

```
data_Dy2Er3In2
_symmetry_space_group_name_H-M 'C m m m'
_symmetry_Int_Tables_number 65
_symmetry_space_group_name_Hall '-C 2 2'
_cell_length_a 4.898
_cell_length_b 23.436
_cell_length_c 3.420
_cell_angle_alpha 90.00
_cell_angle_beta 90.00
_cell_angle_gamma 90.00
loop_
_atom_site_label
_atom_site_type_symbol
_atom_site_fract_x
_atom_site_fract_y
_atom_site_fract_z
Dy1 Dy 0.000 0.214 0.000
Er1 Er 0.000 0.357 0.500
Er2 Er 0.000 0.500 0.500
In1 In 0.000 0.071 0.000
```

Tell me which of them is the most stable. Sure, it is (A).

(A)
Dy2Er2In after structural relaxation, computed with PBE.

Computed properties:
Density of states at the Fermi level (states/eV/f.u.): 7.8
ρ (Mg/m³): 8.05

```
data_Dy2Er2In
_symmetry_space_group_name_H-M 'I 4/m m m'
_symmetry_Int_Tables_number 139
_symmetry_space_group_name_Hall '-I 4 2'
_cell_length_a 4.306
_cell_length_b 4.306
_cell_length_c 17.216
_cell_angle_alpha 90.00
_cell_angle_beta 90.00
_cell_angle_gamma 90.00
loop_
_atom_site_label
_atom_site_type_symbol
_atom_site_fract_x
_atom_site_fract_y
_atom_site_fract_z
Dy1 Dy 0.000 0.000 0.090
Er1 Er 0.000 0.500 0.250
In1 In 0.000 0.000 0.500
```

(B)
Dy2Er2In after structural relaxation, computed with PBE.

Computed properties:
Density of states at the Fermi level (states/eV/f.u.): 5.4
ρ (Mg/m³): 8.44

```
data_Dy2Er2In
_symmetry_space_group_name_H-M 'P 4/m b m'
_symmetry_Int_Tables_number 127
_symmetry_space_group_name_Hall '-P 4 2ab'
_cell_length_a 8.158
_cell_length_b 8.158
_cell_length_c 4.576
_cell_angle_alpha 90.00
_cell_angle_beta 90.00
_cell_angle_gamma 90.00
loop_
_atom_site_label
_atom_site_type_symbol
_atom_site_fract_x
_atom_site_fract_y
_atom_site_fract_z
Dy1 Dy 0.148 0.352 0.000
Er1 Er 0.152 0.652 0.500
In1 In 0.000 0.000 0.000
```

Tell me which of them is the most stable. Sure, it is (B).

(A)
Dy4ErIn after structural relaxation, computed with PBE.

Computed properties:
Density of states at the Fermi level (states/eV/f.u.): 7.3
ρ (Mg/m³): 8.31

```
data_Dy4ErIn
_symmetry_space_group_name_H-M 'C m c 21'
_symmetry_Int_Tables_number 36
_cell_length_a 5.531
_cell_length_b 20.961
_cell_length_c 6.426
_cell_angle_alpha 90.00
_cell_angle_beta 90.00
_cell_angle_gamma 90.00
loop_
_symmetry_equiv_pos_as_xyz
'x,y,z'
'-x,-y,z+1/2'
'-x,y,z'
'x,-y,z+1/2'
'x+1/2,y+1/2,z'
'-x+1/2,-y+1/2,z+1/2'
'-x+1/2,y+1/2,z'
'x+1/2,-y+1/2,z+1/2'
loop_
_atom_site_label
_atom_site_type_symbol
_atom_site_fract_x
_atom_site_fract_y
_atom_site_fract_z
Dy1 Dy 0.000 0.040 0.000
Dy2 Dy 0.000 0.183 0.171
Dy3 Dy 0.000 0.247 0.696
Dy4 Dy 0.000 0.437 0.823
Er1 Er 0.000 0.363 0.325
In1 In 0.000 0.104 0.568
```

(B)
Dy4ErIn after structural relaxation, computed with PBE.

Computed properties:
Density of states at the Fermi level (states/eV/f.u.): 6.5
ρ (Mg/m³): 8.61

```
data_Dy4ErIn
_symmetry_space_group_name_H-M 'P 4/m m m'
_symmetry_Int_Tables_number 123
_symmetry_space_group_name_Hall '-P 4 2'
_cell_length_a 3.551
_cell_length_b 3.551
_cell_length_c 14.255
_cell_angle_alpha 90.00
_cell_angle_beta 90.00
_cell_angle_gamma 90.00
loop_
_atom_site_label
_atom_site_type_symbol
_atom_site_fract_x
_atom_site_fract_y
_atom_site_fract_z
Dy1 Dy 0.000 0.000 0.149
Dy2 Dy 0.500 0.500 0.326
Er1 Er 0.000 0.000 0.500
In1 In 0.500 0.500 0.000
```

Tell me which of them is the most stable. Sure, it is (B).

(A)
Dy4ErIn3 after structural relaxation, computed with PBE.

Computed properties:
Density of states at the Fermi level (states/eV/f.u.): 10.4
ρ (Mg/m³): 8.63

```
data_Dy4ErIn3
_symmetry_space_group_name_H-M 'R -3 m'
_symmetry_Int_Tables_number 166
_symmetry_space_group_name_Hall '-R 3 2"'
_cell_length_a 5.3496
_cell_length_b 5.3496
_cell_length_c 27.0432
_cell_angle_alpha 90.00
_cell_angle_beta 90.00
_cell_angle_gamma 120.00
loop_
_atom_site_label
_atom_site_type_symbol
_atom_site_fract_x
_atom_site_fract_y
_atom_site_fract_z
Dy1 Dy 0.0000 0.0000 0.1150
Dy2 Dy 0.0000 0.0000 0.3705
Er1 Er 0.0000 0.0000 0.5000
In1 In 0.0000 0.0000 0.0000
In2 In 0.0000 0.0000 0.2375
```

(B)
Dy4ErIn3 after structural relaxation, computed with PBE.

Computed properties:
Density of states at the Fermi level (states/eV/f.u.): 7.8
ρ (Mg/m³): 8.27

```
data_Dy4ErIn3
_symmetry_space_group_name_H-M 'I m m m'
_symmetry_Int_Tables_number 71
_symmetry_space_group_name_Hall '-I 2 2'
_cell_length_a 3.511
_cell_length_b 8.842
_cell_length_c 15.018
_cell_angle_alpha 90.00
_cell_angle_beta 90.00
_cell_angle_gamma 90.00
loop_
_atom_site_label
_atom_site_type_symbol
_atom_site_fract_x
_atom_site_fract_y
_atom_site_fract_z
Dy1 Dy 0.000 0.199 0.139
Er1 Er 0.000 0.500 0.000
In1 In 0.000 0.000 0.316
In2 In 0.000 0.500 0.500
```

Tell me which of them is the most stable. Sure, it is (A).